Record 1
VASP calculation (PBE) on a geometry-optimized Pa2TaSb structure.

Cell and atoms, written as POSCAR:
```
Pa2TaSb
1.0
-2.305 1.219 -4.448
1.745 -1.971 -4.433
-2.778 -3.539 -2.519
Sb Pa Ta
1 2 1
direct
0.500 0.500 0.500
0.250 0.250 0.250
0.750 0.750 0.750
0.000 0.000 0.000
```

Summary:
Its symmetry is Fm-3m, No. 225. The energy above the most stable polymorph in this dataset is 0.317 eV per atom. As for the total energy: -0.314 hartree per atom. The uncorrected formation energy comes out at 0.20 eV per atom. As for the theoretical density: 13.10 g/cm3.

---

Record 2
VASP calculation (PBE) on a geometry-optimized Pa2TaSb structure.

Cell and atoms, written as POSCAR:
```
Pa2TaSb
1.0
-0.933 -0.809 -4.470
2.957 -3.287 -0.023
-3.164 -2.855 1.178
Sb Pa Ta
1 2 1
direct
0.500 0.500 0.500
0.000 0.000 0.500
0.000 0.500 0.000
0.500 0.000 0.000
```

Summary:
Its symmetry is P4/mmm, No. 123. The energy above the most stable polymorph in this dataset is 0.000 eV per atom. As for the total energy: -0.325 hartree per atom. The uncorrected formation energy comes out at -0.12 eV per atom. As for the theoretical density: 14.01 g/cm3.

---

Record 3
VASP calculation (PBE) on a geometry-optimized Pa2TaSb structure.

Cell and atoms, written as POSCAR:
```
Pa2TaSb
1.0
3.919 0.000 0.000
0.000 3.919 0.000
0.000 0.000 6.243
Sb Pa Ta
1 2 1
direct
0.500 0.500 0.500
0.000 0.000 0.745
0.000 0.000 0.255
0.500 0.500 0.000
```

Summary:
Its symmetry is P4/mmm, No. 123. The energy above the most stable polymorph in this dataset is 0.083 eV per atom. As for the total energy: -0.322 hartree per atom. The uncorrected formation energy comes out at -0.03 eV per atom. As for the theoretical density: 13.24 g/cm3.

---

Record 4
VASP calculation (PBE) on a geometry-optimized UPaTaSb structure.

Cell and atoms, written as POSCAR:
```
UPaTaSb
1.0
5.127 0.000 0.000
2.564 4.440 0.000
2.564 1.480 4.186
Sb Pa U Ta
1 1 1 1
direct
0.500 0.500 0.500
0.750 0.750 0.750
0.250 0.250 0.250
0.000 0.000 0.000
```

Summary:
Its symmetry is F-43m, No. 216. As for the total energy: -0.325 hartree per atom. The uncorrected formation energy comes out at 0.34 eV per atom. As for the theoretical density: 13.45 g/cm3.

---

Record 5
VASP calculation (PBE) on a geometry-optimized TbPaSb structure.

Cell and atoms, written as POSCAR:
```
TbPaSb
1.0
-1.684 2.795 -1.072
-4.337 -1.633 2.555
3.527 3.074 2.472
Sb Pa Tb
1 1 1
direct
0.362 0.333 0.667
0.057 0.000 0.000
0.581 0.667 0.333
```

Summary:
Its symmetry is P3m1, No. 156. The energy above the most stable polymorph in this dataset is 0.205 eV per atom. As for the total energy: -0.225 hartree per atom. The uncorrected formation energy comes out at -0.05 eV per atom. As for the theoretical density: 10.20 g/cm3.

---

Record 6
VASP calculation (PBE) on a geometry-optimized TbPa3Sb4 structure.

Cell and atoms, written as POSCAR:
```
TbPa3Sb4
1.0
-5.270 0.666 5.385
-2.643 -4.395 -5.596
3.222 -7.063 4.026
Sb Pa Tb
8 6 2
direct
0.999 0.248 0.627
0.500 0.250 0.875
0.499 0.248 0.373
0.000 0.250 0.125
0.000 0.750 0.875
0.501 0.752 0.627
0.500 0.750 0.125
0.001 0.752 0.373
0.750 0.000 0.376
0.250 0.000 0.624
0.750 0.500 0.623
0.750 0.500 0.126
0.250 0.500 0.377
0.250 0.500 0.874
0.750 0.000 0.877
0.250 0.000 0.123
```

Summary:
Its symmetry is P2/c, No. 13. As for the total energy: -0.250 hartree per atom. The uncorrected formation energy comes out at -0.60 eV per atom. As for the theoretical density: 9.39 g/cm3.